Material: AlTlSb2
Method: DFT, PBE
State: relaxed

Properties
DFT total energy in eV/atom: -3.54
Space group: R-3m (166)
Energy above the most stable polymorph in this dataset in kJ/mol of atoms: 5.6
Formation energy from raw total energies in eV per atom: 0.050

abc: 8.189 8.189 8.189
angles: 28.65 28.65 28.65
Fractional positions:
Al  0.000  0.000  0.000
Tl  0.500  0.500  0.500
Sb  0.266  0.266  0.266
Sb  0.734  0.734  0.734